This record from Alexandria via LeMat-Bulk describes a geometry-optimized BaCoC2F structure. The functional is PBE with a Hubbard U.

Computed properties:
**Magnetization**: 0.53 μB/f.u.
**Space group**: P4/mmm
**E**: -27.2 eV per formula unit

abc: 3.6459 5.7774 3.6459
angles: 90.00 90.00 90.00
Last column: magnetic moment on the atom in μB.
Atoms (fractional coordinates):
Ba: 0.5000 0.5000 0.5000  0.01
C: 0.0000 0.0000 0.5000  0.07
Co: 0.0000 0.0000 0.0000  0.35
C: 0.5000 0.0000 0.0000  0.00
F: 0.0000 0.5000 0.0000  0.00